Entry 1:
Computed, not measured: crystalline TaSiBr2 at its relaxed geometry at the PBEsol level of DFT.

Cell and atoms, written as POSCAR:
```
TaSiBr2
1.0
-1.6843 -0.4704 -2.6476
1.4841 -0.3633 -2.7809
0.3116 -9.6853 -0.3786
Br Ta Si
2 1 1
Direct
0.0867 0.0867 0.7399 Br
0.9133 0.9133 0.2601 Br
0.0000 0.0000 0.0000 Ta
0.5000 0.5000 0.5000 Si
```

Output
- magnetic moment (μB per formula unit) = 0.0
- crystal system = trigonal
- DFT total energy (eV for the cell shown) = -20.3
- formation energy from raw total energies (eV per formula unit) = 1.731

***

Entry 2:
Computed, not measured: crystalline Ta2SiBr at its relaxed geometry at the PBEsol level of DFT.

Cell and atoms, written as POSCAR:
```
Ta2SiBr
1.0
3.3413 0.0000 0.0000
0.0000 3.3470 0.0000
0.0000 0.0000 6.1391
Si Ta Br
1 2 1
Direct
0.5000 0.5000 0.8054 Si
0.0000 0.0000 0.9575 Ta
0.5000 0.5000 0.2513 Ta
0.0000 0.0000 0.4858 Br
```

Output
- magnetic moment (μB per formula unit) = 0.0
- crystal system = tetragonal
- DFT total energy (eV for the cell shown) = -32.6
- formation energy from raw total energies (eV per formula unit) = 0.151

***

Entry 3:
Computed, not measured: crystalline Ta2SiBr at its relaxed geometry at the PBEsol level of DFT.

Cell and atoms, written as POSCAR:
```
Ta2SiBr
1.0
3.1443 0.0000 0.0000
0.0000 4.7577 -0.0014
-1.5721 -1.2350 4.4569
Ta Br Si
2 1 1
Direct
0.0055 0.0716 0.0110 Ta
0.2520 0.7158 0.5040 Ta
0.5037 0.5285 0.0074 Br
0.7388 0.1841 0.4776 Si
```

Output
- magnetic moment (μB per formula unit) = 0.0
- crystal system = monoclinic
- DFT total energy (eV for the cell shown) = -32.1
- formation energy from raw total energies (eV per formula unit) = 0.581

***

Entry 4:
Computed, not measured: crystalline Ta2SiBr at its relaxed geometry at the PBEsol level of DFT.

Cell and atoms, written as POSCAR:
```
Ta2SiBr
1.0
2.8949 0.0000 0.0000
-1.4474 4.3916 0.0141
0.0000 -1.3940 5.3710
Ta Br Si
2 1 1
Direct
0.2576 0.5152 0.2667 Ta
0.7424 0.4848 0.7333 Ta
0.5000 0.0000 0.0000 Br
0.0000 0.0000 0.5000 Si
```

Output
- magnetic moment (μB per formula unit) = 0.0
- crystal system = monoclinic
- DFT total energy (eV for the cell shown) = -31.7
- formation energy from raw total energies (eV per formula unit) = 1.053

***

- What is the formula in the second record?
  Ta2SiBr

***

- The lowest formation energy from raw total energies belongs to which entry?
  number 2

***

Repeat the first record exactly.
Computed, not measured: crystalline TaSiBr2 at its relaxed geometry at the PBEsol level of DFT.

Cell and atoms, written as POSCAR:
```
TaSiBr2
1.0
-1.6843 -0.4704 -2.6476
1.4841 -0.3633 -2.7809
0.3116 -9.6853 -0.3786
Br Ta Si
2 1 1
Direct
0.0867 0.0867 0.7399 Br
0.9133 0.9133 0.2601 Br
0.0000 0.0000 0.0000 Ta
0.5000 0.5000 0.5000 Si
```

Output
- magnetic moment (μB per formula unit) = 0.0
- crystal system = trigonal
- DFT total energy (eV for the cell shown) = -20.3
- formation energy from raw total energies (eV per formula unit) = 1.731